Below is a geometry-optimized Li2Fe3F8 structure, with properties calculated at the PBE with a Hubbard U level.

symmetry = Pnnm (58)
crystal system = orthorhombic
magnetic moment = 24.00 μB per cell
theoretical density = 3.4 Mg/m³
distance to the lowest polymorph of the same formula = 13 meV/atom

```
Li2Fe3F8
1.0
-1.435 4.892 1.565
-6.151 -1.604 -0.624
-0.152 -2.937 9.043
Li Fe F
4 6 16
Direct
0.982 0.500 0.685 Li
0.518 0.000 0.185 Li
0.482 0.000 0.815 Li
0.018 0.500 0.315 Li
0.000 0.237 0.000 Fe
0.000 0.763 0.000 Fe
0.000 0.000 0.500 Fe
0.500 0.500 0.000 Fe
0.500 0.263 0.500 Fe
0.500 0.737 0.500 Fe
0.154 0.500 0.119 F
0.178 0.237 0.386 F
0.178 0.763 0.386 F
0.182 0.000 0.111 F
0.318 0.500 0.611 F
0.322 0.263 0.886 F
0.322 0.737 0.886 F
0.346 0.000 0.619 F
0.654 0.000 0.381 F
0.678 0.263 0.114 F
0.678 0.737 0.114 F
0.682 0.500 0.389 F
0.818 0.000 0.889 F
0.822 0.237 0.614 F
0.822 0.763 0.614 F
0.846 0.500 0.881 F
```